Density functional theory data (PBE) for NdThHg3 after structural relaxation.

```
NdThHg3
1.0
3.566 0.000 -0.491
0.000 4.963 0.000
0.270 0.000 15.154
Nd Hg Th
2 6 2
Cartesian
0.301 1.241 2.188
3.534 3.722 12.475
1.561 1.241 11.341
2.274 3.722 3.322
1.955 1.241 14.201
2.499 1.241 4.953
1.337 3.722 9.710
1.880 3.722 0.462
0.880 3.722 6.388
2.956 1.241 8.275
```

Summary:
The formation energy is -0.328 eV/atom. Its space group is Cmcm (63).

Density functional theory data (PBE) for Be2TlAg after structural relaxation.

```
Be2TlAg
1.0
-3.265 -3.113 0.332
0.994 -4.177 1.422
-1.391 -1.394 4.072
Tl Ag Be
1 1 2
Cartesian
-2.746 -6.513 4.370
-1.831 -4.342 2.913
-0.915 -2.171 1.457
0.000 0.000 0.000
```

Summary:
The formation energy is 0.768 eV/atom. Its space group is F-43m (216).

Density functional theory data (PBE) for LaHfAg after structural relaxation.

```
LaHfAg
1.0
-0.257 -6.719 0.401
0.917 1.133 5.160
-4.367 1.881 0.363
Hf Ag La
2 2 2
Cartesian
-2.480 0.225 3.442
-2.531 -5.411 0.706
-3.138 -1.719 5.594
-0.956 -2.334 3.714
-4.116 -3.566 3.411
-0.895 -1.619 0.737
```

Summary:
The formation energy is 0.079 eV/atom. Its space group is C2/m (12).

Density functional theory data (PBE) for Hf6SnPb2 after structural relaxation.

```
Hf6SnPb2
1.0
-3.046 -2.866 2.818
-3.097 -3.817 -7.230
6.568 -6.410 0.571
Hf Pb Sn
12 4 2
Cartesian
-1.347 -9.096 -1.689
-1.983 -3.918 2.895
2.408 -9.176 -6.735
0.893 -11.228 -1.437
-0.468 -1.866 -2.403
-0.864 -5.512 -2.028
1.772 -3.998 -2.151
-3.612 -5.079 -4.560
4.037 -8.015 0.720
-1.422 -7.273 -4.425
1.289 -7.582 -1.812
1.847 -5.821 0.585
-3.514 -6.990 -1.884
3.939 -6.104 -1.957
-0.371 -3.719 0.329
0.796 -9.375 -4.169
-3.072 -3.342 -2.206
3.284 -3.205 0.286
```

Summary:
The formation energy is -0.059 eV/atom. Its space group is Pnnm (58).

Density functional theory data (PBE) for Cs3Ca2PbI9 after structural relaxation.

```
Cs3Ca2PbI9
1.0
8.880 0.000 0.000
-4.440 7.690 0.000
0.000 0.000 10.898
Cs I Ca Pb
3 9 2 1
Cartesian
0.000 0.000 0.000
0.000 5.127 7.258
4.440 2.563 3.639
2.185 6.388 3.581
-2.220 3.845 0.000
4.440 0.000 0.000
2.255 1.302 7.317
2.220 3.845 0.000
0.000 2.604 3.581
4.440 5.086 7.317
6.625 1.302 7.317
-2.185 6.388 3.581
4.440 2.563 9.138
0.000 5.127 1.760
0.000 0.000 5.449
```

Summary:
The formation energy without anion corrections comes out at -1.3870 eV per atom. Its space group is P-3m1 (164).

Density functional theory data (PBE) for InIrPb2 after structural relaxation.

```
InIrPb2
1.0
-2.344 3.248 -2.335
-3.967 -2.070 1.103
-0.260 2.466 3.692
In Pb Ir
1 2 1
Cartesian
-1.302 2.857 0.679
-3.155 0.589 -0.616
0.000 0.000 0.000
-2.113 0.198 2.397
```

Summary:
The formation energy is 0.454 eV/atom. Its space group is Pmmm (47).

Density functional theory data (PBE) for Tc3BOs after structural relaxation.

```
Tc3BOs
1.0
-3.912 0.971 -0.515
-0.045 -2.044 -3.511
-1.098 -3.375 1.979
Tc B Os
3 1 1
Cartesian
-1.956 0.485 -0.258
-0.549 -1.687 0.989
-0.022 -1.022 -1.756
0.000 0.000 0.000
-2.527 -2.224 -1.024
```

Summary:
The formation energy is 0.188 eV/atom. Its space group is Pm-3m (221).

Density functional theory data (PBE) for CeEr2InC after structural relaxation.

```
CeEr2InC
1.0
4.900 0.000 0.000
0.000 4.912 0.000
0.000 0.000 4.912
In Er Ce C
1 2 1 1
Cartesian
2.450 2.456 2.456
0.000 2.456 0.000
0.000 0.000 2.456
2.450 0.000 0.000
0.000 0.000 0.000
```

Summary:
The formation energy is -0.435 eV/atom. Its space group is P4/mmm (123).

One value per record, in order, for total moment: 0.028 0.000 0.000 0.000 0.000 0.000 0.000 0.084 μB/atom.